# KCrCuO4

An optimized crystal structure of KCrCuO4 (PBE with a Hubbard U, Alexandria).

Theoretical density ... 3.36 g cm⁻³
Final energy ... -5.871 eV/atom
M_tot ... 0.00 μB/atom

CIF file:
```
data_KCrCuO4
_symmetry_space_group_name_H-M 'P 1 21/m 1'
_symmetry_Int_Tables_number 11
_cell_length_a 4.869
_cell_length_b 6.004
_cell_length_c 7.650
_cell_angle_alpha 90.00
_cell_angle_beta 104.63
_cell_angle_gamma 90.00
loop_
_symmetry_equiv_pos_as_xyz
'x,y,z'
'-x,-y,-z'
'-x,y+1/2,-z'
'x,-y+1/2,z'
loop_
_atom_site_label
_atom_site_fract_x
_atom_site_fract_y
_atom_site_fract_z
K1 0.186 0.250 0.120
Cr1 0.354 0.250 0.705
Cu1 0.206 0.750 0.581
O1 0.147 0.020 0.704
O2 0.379 0.750 0.110
O3 0.473 0.250 0.518
```